(1)
Below is a relaxed structure of Cs3PtBr6, with properties calculated at the PBE level.

Summary:
As for the crystal system: tetragonal. As for the space group: I4/mmm.

Cell lengths 8.5314, 8.5314, 8.5314 Å; angles 121.91, 121.91, 86.73 degrees
Fractional positions:
1 Cs 0.0000 0.0000 0.0000
2 Cs 0.2500 0.7500 0.5000
3 Cs 0.7500 0.2500 0.5000
4 Pt 0.5000 0.5000 0.0000
5 Br 0.2740 0.2740 0.0000
6 Br 0.2872 0.2872 0.5743
7 Br 0.2872 0.7128 0.0000
8 Br 0.7128 0.2872 0.0000
9 Br 0.7128 0.7128 0.4257
10 Br 0.7260 0.7260 0.0000

(2)
Below is a relaxed structure of BiWBr2, with properties calculated at the PBE level.

Summary:
As for the crystal system: cubic. As for the space group: Fm-3m.

Cell lengths 5.0520, 5.0520, 5.0520 Å; angles 60.00, 60.00, 60.00 degrees
Fractional positions:
1 Bi 0.0000 0.0000 0.0000
2 W 0.5000 0.5000 0.5000
3 Br 0.2500 0.2500 0.2500
4 Br 0.7500 0.7500 0.7500

| no. | size of the total moment (μB per formula unit) | distance to the lowest polymorph of the same formula (eV/atom) | raw formation energy (eV/atom) |
| --- | --- | --- | --- |
| 1 | 1.0 | 0.0000 | -1.121 |
| 2 | 2.2 | 0.7336 | 1.234 |